# 1
Density functional theory data (PBE) for LiLaZrPd after structural relaxation.

Results
- offset from the most stable computed form (meV/atom) = 6

abc: 5.004 5.004 5.004
angles: 60.00 60.00 60.00
Positions (direct):
Zr 0.000 0.000 0.000
La 0.500 0.500 0.500
Pd 0.250 0.250 0.250
Li 0.750 0.750 0.750

# 2
Density functional theory data (PBE) for K2FeCuCl6 after structural relaxation.

Results
- VASP energy (eV/atom) = -3.688

abc: 6.865 6.865 6.865
angles: 60.00 60.00 60.00
Site moments in Bohr magnetons follow the coordinates.
Positions (direct):
Cl 0.253 0.747 0.253  0.07
Cl 0.747 0.747 0.253  0.08
Cl 0.253 0.747 0.747  0.06
Cl 0.747 0.253 0.253  0.06
Cl 0.253 0.253 0.747  0.08
Cl 0.747 0.253 0.747  0.07
Fe 0.500 0.500 0.500  3.58
K 0.250 0.250 0.250  0.00
K 0.750 0.750 0.750  0.00
Cu 0.000 0.000 0.000  -0.02

# 3
Density functional theory data (PBE) for NbCdFeB after structural relaxation.

Results
- offset from the most stable computed form (meV/atom) = 85

abc: 4.272 4.272 4.272
angles: 60.00 60.00 60.00
Positions (direct):
Nb 0.500 0.500 0.500
Cd 0.250 0.250 0.250
B 0.000 0.000 0.000
Fe 0.750 0.750 0.750